! BaLi2Cr | Alexandria via LeMat-Bulk | PBE | optimized geometry; values from VASP
&SYSTEM
  ibrav = 0, nat = 4, ntyp = 3
/
ATOMIC_SPECIES
Li 6.94 Li.upf
Ba 137.33 Ba.upf
Cr 52.00 Cr.upf
CELL_PARAMETERS angstrom
-2.371 0.158 4.281
1.496 -2.555 3.900
3.118 3.839 4.303
ATOMIC_POSITIONS angstrom
Li -0.843 -2.355 8.200
Li 2.212 1.804 9.600
Ba 1.086 0.672 6.230
Cr 0.034 -0.356 2.877
! **V**: 30.3 Å³ per atom
! **Total energy**: -13.65 eV per cell
! **Magnetic moment**: 4.6 μB/cell
! **DOS at the Fermi energy**: 2.72 states/eV per cell
! **Calculated formation energy**: 166 kJ/mol of formula units

---

! BaLiCr2 | Alexandria via LeMat-Bulk | PBE | optimized geometry; values from VASP
&SYSTEM
  ibrav = 0, nat = 4, ntyp = 3
/
ATOMIC_SPECIES
Li 6.94 Li.upf
Cr 52.00 Cr.upf
Ba 137.33 Ba.upf
CELL_PARAMETERS angstrom
5.947 -0.017 -0.055
-2.695 5.528 0.015
0.557 0.982 3.130
ATOMIC_POSITIONS angstrom
Li -1.069 3.255 1.572
Cr 0.000 0.000 0.000
Cr 3.252 0.482 1.537
Ba 1.626 2.755 -0.020
! **V**: 25.7 Å³ per atom
! **Total energy**: -19.00 eV per cell
! **Magnetic moment**: 8.6 μB/cell
! **DOS at the Fermi energy**: 3.18 states/eV per cell
! **Calculated formation energy**: 394 kJ/mol of formula units

---

! BaLi2Cr | Alexandria via LeMat-Bulk | PBE | optimized geometry; values from VASP
&SYSTEM
  ibrav = 0, nat = 4, ntyp = 3
/
ATOMIC_SPECIES
Li 6.94 Li.upf
Cr 52.00 Cr.upf
Ba 137.33 Ba.upf
CELL_PARAMETERS angstrom
-2.053 6.506 -7.376
-5.254 4.690 -7.166
-4.575 7.499 -4.877
ATOMIC_POSITIONS angstrom
Li -5.730 9.015 -9.364
Li -0.211 0.333 -0.346
Cr -8.912 14.021 -14.564
Ba -2.971 4.674 -4.855
! **V**: 28.9 Å³ per atom
! **Total energy**: -12.66 eV per cell
! **Magnetic moment**: 4.4 μB/cell
! **DOS at the Fermi energy**: 3.73 states/eV per cell
! **Calculated formation energy**: 262 kJ/mol of formula units

---

! Ba2LiCr | Alexandria via LeMat-Bulk | PBE | optimized geometry; values from VASP
&SYSTEM
  ibrav = 0, nat = 4, ntyp = 3
/
ATOMIC_SPECIES
Li 6.94 Li.upf
Cr 52.00 Cr.upf
Ba 137.33 Ba.upf
CELL_PARAMETERS angstrom
5.804 0.000 0.000
2.902 5.026 0.000
2.902 1.675 4.739
ATOMIC_POSITIONS angstrom
Li 8.705 5.026 3.554
Cr 5.804 3.351 2.369
Ba 0.000 0.000 0.000
Ba 2.902 1.675 1.185
! **V**: 34.6 Å³ per atom
! **Total energy**: -13.33 eV per cell
! **Magnetic moment**: 4.9 μB/cell
! **DOS at the Fermi energy**: 3.95 states/eV per cell
! **Calculated formation energy**: 198 kJ/mol of formula units

---

! BaLiCr2 | Alexandria via LeMat-Bulk | PBE | optimized geometry; values from VASP
&SYSTEM
  ibrav = 0, nat = 4, ntyp = 3
/
ATOMIC_SPECIES
Cr 52.00 Cr.upf
Li 6.94 Li.upf
Ba 137.33 Ba.upf
CELL_PARAMETERS angstrom
-7.473 3.595 -6.370
-5.116 2.801 -8.679
-7.240 0.416 -7.534
ATOMIC_POSITIONS angstrom
Cr -19.599 6.733 -22.321
Cr -10.144 3.485 -11.553
Li -4.957 1.703 -5.646
Ba -14.871 5.109 -16.937
! **V**: 25.6 Å³ per atom
! **Total energy**: -18.70 eV per cell
! **Magnetic moment**: 8.7 μB/cell
! **DOS at the Fermi energy**: 3.83 states/eV per cell
! **Calculated formation energy**: 423 kJ/mol of formula units

---

! Ba2LiCr | Alexandria via LeMat-Bulk | PBE | optimized geometry; values from VASP
&SYSTEM
  ibrav = 0, nat = 4, ntyp = 3
/
ATOMIC_SPECIES
Li 6.94 Li.upf
Ba 137.33 Ba.upf
Cr 52.00 Cr.upf
CELL_PARAMETERS angstrom
0.243 0.090 5.683
-3.997 -2.650 3.061
1.290 -4.741 2.868
ATOMIC_POSITIONS angstrom
Li 0.000 0.000 0.000
Ba -1.848 -5.476 8.709
Ba -0.616 -1.825 2.903
Cr -1.232 -3.651 5.806
! **V**: 32.6 Å³ per atom
! **Total energy**: -11.43 eV per cell
! **Magnetic moment**: 0.2 μB/cell
! **DOS at the Fermi energy**: 22.22 states/eV per cell
! **Calculated formation energy**: 381 kJ/mol of formula units

---

! Ba2LiCr | Alexandria via LeMat-Bulk | PBE | optimized geometry; values from VASP
&SYSTEM
  ibrav = 0, nat = 4, ntyp = 3
/
ATOMIC_SPECIES
Li 6.94 Li.upf
Ba 137.33 Ba.upf
Cr 52.00 Cr.upf
CELL_PARAMETERS angstrom
-9.256 0.294 -5.957
-10.699 -1.274 -2.275
-10.248 2.928 -2.767
ATOMIC_POSITIONS angstrom
Li -22.653 1.461 -8.249
Ba -15.414 0.994 -5.613
Ba -29.891 1.927 -10.885
Cr -7.551 0.487 -2.750
! **V**: 42.1 Å³ per atom
! **Total energy**: -13.00 eV per cell
! **Magnetic moment**: 4.0 μB/cell
! **DOS at the Fermi energy**: 4.12 states/eV per cell
! **Calculated formation energy**: 230 kJ/mol of formula units

---

! Ba2LiCr | Alexandria via LeMat-Bulk | PBE | optimized geometry; values from VASP
&SYSTEM
  ibrav = 0, nat = 4, ntyp = 3
/
ATOMIC_SPECIES
Cr 52.00 Cr.upf
Ba 137.33 Ba.upf
Li 6.94 Li.upf
CELL_PARAMETERS angstrom
4.629 -0.444 0.161
3.278 3.298 0.161
0.944 0.341 10.103
ATOMIC_POSITIONS angstrom
Cr 2.213 0.799 2.606
Ba 7.853 2.834 0.590
Ba 4.480 1.617 4.944
Li 6.638 2.396 7.818
! **V**: 42.1 Å³ per atom
! **Total energy**: -13.00 eV per cell
! **Magnetic moment**: 4.3 μB/cell
! **DOS at the Fermi energy**: 4.71 states/eV per cell
! **Calculated formation energy**: 230 kJ/mol of formula units

---

Which of these has the lowest calculated formation energy?
number 1